No. 1
The following is a PBE calculation of Tl3SeBr2 after structural relaxation, from Alexandria via LeMat-Bulk.

Structure (extended XYZ):
```
12
Lattice="4.602 0.000 0.000 0.000 6.346 0.000 0.000 0.000 14.264" Properties=species:S:1:pos:R:3 pbc="T T T"
Tl 0.000 0.000 0.000
Tl 0.000 0.000 5.005
Tl 0.000 0.000 9.259
Tl 2.301 3.173 2.127
Tl 2.301 3.173 7.132
Tl 2.301 3.173 12.137
Se 0.000 3.173 0.000
Se 2.301 0.000 7.132
Br 0.000 3.173 4.789
Br 0.000 3.173 9.475
Br 2.301 0.000 2.343
Br 2.301 0.000 11.921
```

Summary:
spin magnetization	0.000	μB/atom
electronic total energy	-34.8	eV for the cell shown

=====

No. 2
The following is a PBE calculation of TlSeBr2 after structural relaxation, from Alexandria via LeMat-Bulk.

Structure (extended XYZ):
```
4
Lattice="3.055 0.000 0.000 0.000 3.055 0.000 0.000 0.000 13.648" Properties=species:S:1:pos:R:3 pbc="T T T"
Tl 0.000 0.000 0.000
Se 1.528 1.528 11.147
Br 0.000 0.000 7.079
Br 1.528 1.528 2.908
```

Summary:
spin magnetization	0.000	μB/atom
energy relative to the lowest polymorph listed for this composition	0.4109	eV per atom
electronic total energy	-8.7	eV for the cell shown

=====

No. 3
The following is a PBE calculation of TlSeBr2 after structural relaxation, from Alexandria via LeMat-Bulk.

Structure (extended XYZ):
```
16
Lattice="5.927 0.000 0.000 0.000 5.927 0.000 0.000 0.000 17.772" Properties=species:S:1:pos:R:3 pbc="T T T"
Tl 0.000 0.000 0.000
Tl 0.000 2.964 4.443
Tl 2.964 0.000 13.329
Tl 2.964 2.964 8.886
Se 0.000 0.000 8.886
Se 0.000 2.964 13.329
Se 2.964 0.000 4.443
Se 2.964 2.964 0.000
Br 0.938 1.482 11.108
Br 1.482 3.901 15.551
Br 1.482 4.989 6.665
Br 2.026 1.482 2.222
Br 3.901 4.445 2.222
Br 4.445 0.938 6.665
Br 4.445 2.026 15.551
Br 4.989 4.445 11.108
```

Summary:
spin magnetization	0.000	μB/atom
energy relative to the lowest polymorph listed for this composition	0.1795	eV per atom
electronic total energy	-38.4	eV for the cell shown

=====

No. 4
The following is a PBE calculation of Tl8Se4Br after structural relaxation, from Alexandria via LeMat-Bulk.

Structure (extended XYZ):
```
13
Lattice="4.454 2.571 7.662 -4.454 2.571 7.662 0.000 -5.143 7.662" Properties=species:S:1:pos:R:3 pbc="T T T"
Tl -2.238 -1.292 13.189
Tl 0.000 0.000 5.537
Tl 0.000 -2.584 9.798
Tl -2.238 1.292 9.798
Tl 2.238 -1.292 13.189
Tl 0.000 2.584 13.189
Tl 0.000 0.000 17.449
Tl 2.238 1.292 9.798
Se -4.454 0.000 11.493
Se -2.227 1.286 3.831
Se 2.227 1.286 3.831
Se 0.000 0.000 11.493
Br 0.000 0.000 0.000
```

Summary:
spin magnetization	0.000	μB/atom
energy relative to the lowest polymorph listed for this composition	0.0000	eV per atom
electronic total energy	-39.6	eV for the cell shown

=====

No. 5
The following is a PBE calculation of TlSeBr2 after structural relaxation, from Alexandria via LeMat-Bulk.

Structure (extended XYZ):
```
12
Lattice="4.712 0.000 0.000 -2.356 4.080 0.000 0.000 0.000 21.770" Properties=species:S:1:pos:R:3 pbc="T T T"
Tl 0.000 0.000 0.000
Tl 0.000 2.720 14.514
Tl 2.356 1.360 7.257
Se 0.000 0.000 10.885
Se 0.000 2.720 3.628
Se 2.356 1.360 18.142
Br 0.000 0.000 5.369
Br 0.000 0.000 16.402
Br 0.000 2.720 9.145
Br 0.000 2.720 19.882
Br 2.356 1.360 1.888
Br 2.356 1.360 12.625
```

Summary:
spin magnetization	0.702	μB/atom
energy relative to the lowest polymorph listed for this composition	0.2950	eV per atom
electronic total energy	-27.4	eV for the cell shown

=====

No. 6
The following is a PBE calculation of TlSeBr2 after structural relaxation, from Alexandria via LeMat-Bulk.

Structure (extended XYZ):
```
16
Lattice="7.585 0.000 0.000 0.000 7.585 0.000 0.000 0.000 7.585" Properties=species:S:1:pos:R:3 pbc="T T T"
Tl 0.000 0.000 0.000
Tl 0.000 3.793 3.793
Tl 3.793 0.000 3.793
Tl 3.793 3.793 0.000
Se 1.896 1.896 1.896
Se 1.896 5.689 5.689
Se 5.689 1.896 5.689
Se 5.689 5.689 1.896
Br 0.000 0.000 3.793
Br 0.000 3.793 0.000
Br 1.896 1.896 5.689
Br 1.896 5.689 1.896
Br 3.793 0.000 0.000
Br 3.793 3.793 3.793
Br 5.689 1.896 1.896
Br 5.689 5.689 5.689
```

Summary:
spin magnetization	0.343	μB/atom
energy relative to the lowest polymorph listed for this composition	0.4634	eV per atom
electronic total energy	-33.8	eV for the cell shown

=====

No. 7
The following is a PBE calculation of UTl2Se2Br4 after structural relaxation, from Alexandria via LeMat-Bulk.

Structure (extended XYZ):
```
9
Lattice="6.633 -3.727 0.000 6.633 3.727 0.000 -4.440 0.000 6.402" Properties=species:S:1:pos:R:3 pbc="T T T"
U 0.000 0.000 0.000
Tl -0.146 0.000 4.808
Tl 8.973 0.000 1.594
Se 2.376 0.000 0.945
Se 6.451 0.000 5.458
Br 2.921 1.835 4.557
Br 5.906 1.835 1.845
Br 2.921 -1.835 4.557
Br 5.906 -1.835 1.845
```

Summary:
spin magnetization	0.000	μB/atom
electronic total energy	-37.7	eV for the cell shown

=====

No. 8
The following is a PBE calculation of TlVSe2Br after structural relaxation, from Alexandria via LeMat-Bulk.

Structure (extended XYZ):
```
5
Lattice="4.866 0.000 0.000 0.000 4.866 0.000 0.000 0.000 5.542" Properties=species:S:1:pos:R:3 pbc="T T T"
Tl 0.000 0.000 0.000
V 2.433 2.433 2.771
Se 0.000 2.433 2.771
Se 2.433 0.000 2.771
Br 2.433 2.433 0.000
```

Summary:
spin magnetization	0.248	μB/atom
energy relative to the lowest polymorph listed for this composition	0.0000	eV per atom
electronic total energy	-22.4	eV for the cell shown